(1)
A plane-wave DFT calculation with PBE was carried out for crystalline Co8Ni2Pt3 at its relaxed geometry.

Calculated values
ρ	11.8	g cm⁻³
DFT formation energy	0.09	eV/atom
total energy	-6.563	eV per atom
magnetization	16.8	μB/cell

Unit cell a=4.440 b=4.712 c=8.888 alpha=79.00 beta=87.87 gamma=65.05
Space group P-1 (No. 2)
Symmetry-distinct sites (fractional):
Co  0.156  0.118  0.043
Co  0.171  0.860  0.400
Co  0.273  0.283  0.474
Co  0.295  0.577  0.668
Ni  0.133  0.562  0.210
Pt  0.394  0.996  0.762
Pt  0.500  0.500  0.000

***

(2)
A plane-wave DFT calculation with PBE was carried out for crystalline Ga2SbS4 at its relaxed geometry.

Calculated values
ρ	3.6	g cm⁻³
total energy	-4.250	eV per atom
magnetization	2.0	μB/cell
formation energy without anion corrections	-438	meV per atom

Unit cell a=7.604 b=7.604 c=6.160 alpha=90.00 beta=90.00 gamma=90.00
Space group I4/m (No. 87)
Symmetry-distinct sites (fractional):
Ga  0.000  0.500  0.250
Sb  0.000  0.000  0.000
S  0.154  0.667  0.000

***

(3)
A plane-wave DFT calculation with PBE was carried out for crystalline CaFe2Os at its relaxed geometry.

Calculated values
ρ	9.5	g cm⁻³
DFT formation energy	0.56	eV/atom
total energy	-6.984	eV per atom
magnetization	4.6	μB/cell
energy relative to the lowest polymorph listed for this composition	238	meV/atom

Unit cell a=4.633 b=4.633 c=2.789 alpha=90.00 beta=90.00 gamma=90.00
Space group P4/mmm (No. 123)
Symmetry-distinct sites (fractional):
Ca  0.000  0.000  0.000
Fe  0.000  0.500  0.500
Os  0.500  0.500  0.000